# Tb5Er3Tm4 | Alexandria | GGA-PBE | relaxed
# - Energy relative to the lowest polymorph listed for this composition: 22.0 kJ per mole of atoms
# - Total DFT energy (no corrections): -103.5 eV per cell
# - Energy of formation from the pure elements: 249 meV per atom
data_Tb5Er3Tm4
_cell_length_a 15.998
_cell_length_b 5.793
_cell_length_c 9.172
_cell_angle_alpha 90.00
_cell_angle_beta 116.94
_cell_angle_gamma 90.00
_space_group_name_H-M_alt 'C 1 2/m 1'
_space_group_IT_number 12
loop_
_space_group_symop_operation_xyz
'x,y,z'
'-x,-y,-z'
'-x,y,-z'
'x,-y,z'
'x+1/2,y+1/2,z'
'-x+1/2,-y+1/2,-z'
'-x+1/2,y+1/2,-z'
'x+1/2,-y+1/2,z'
loop_
_atom_site_label
_atom_site_type_symbol
_atom_site_fract_x
_atom_site_fract_y
_atom_site_fract_z
_atom_site_occupancy
Tb1 Tb 0.000 0.000 0.000 1
Tb2 Tb 0.075 0.500 0.701 1
Tb3 Tb 0.174 0.500 0.386 1
Er1 Er 0.000 0.500 0.000 1
Er2 Er 0.209 0.000 0.229 1
Tm1 Tm 0.080 0.000 0.438 1
Tm2 Tm 0.214 0.000 0.877 1



# Tb4ErTm3 | Alexandria | GGA-PBE | relaxed
# - Energy relative to the lowest polymorph listed for this composition: 0.0 kJ per mole of atoms
# - Total DFT energy (no corrections): -72.9 eV per cell
# - Energy of formation from the pure elements: 5 meV per atom
data_Tb4ErTm3
_cell_length_a 11.154
_cell_length_b 7.207
_cell_length_c 6.232
_cell_angle_alpha 90.00
_cell_angle_beta 90.00
_cell_angle_gamma 90.00
_space_group_name_H-M_alt 'P m n 21'
_space_group_IT_number 31
loop_
_space_group_symop_operation_xyz
'x,y,z'
'-x+1/2,-y,z+1/2'
'-x,y,z'
'x+1/2,-y,z+1/2'
loop_
_atom_site_label
_atom_site_type_symbol
_atom_site_fract_x
_atom_site_fract_y
_atom_site_fract_z
_atom_site_occupancy
Tb1 Tb 0.000 0.127 0.000 1
Tb2 Tb 0.000 0.873 0.499 1
Tb3 Tb 0.249 0.873 0.833 1
Er1 Er 0.000 0.377 0.500 1
Tm1 Tm 0.000 0.623 0.000 1
Tm2 Tm 0.250 0.377 0.833 1



# TbErTm2 | Alexandria | GGA-PBE | relaxed
# - Energy relative to the lowest polymorph listed for this composition: 0.6 kJ per mole of atoms
# - Total DFT energy (no corrections): -54.3 eV per cell
# - Energy of formation from the pure elements: 8 meV per atom
data_TbErTm2
_cell_length_a 3.5346
_cell_length_b 3.5346
_cell_length_c 33.8346
_cell_angle_alpha 90.00
_cell_angle_beta 90.00
_cell_angle_gamma 120.00
_space_group_name_H-M_alt 'R 3 m'
_space_group_IT_number 160
_space_group_name_Hall 'R 3 -2"'
loop_
_atom_site_label
_atom_site_type_symbol
_atom_site_fract_x
_atom_site_fract_y
_atom_site_fract_z
_atom_site_occupancy
Tb1 Tb 0.0000 0.0000 0.0000 1
Er1 Er 0.0000 0.0000 0.8342 1
Tm1 Tm 0.0000 0.0000 0.4178 1
Tm2 Tm 0.0000 0.0000 0.5829 1